# PuAlVO6 | Alexandria | PBE+U | relaxed
# V: 204 Å³ per cell
# spin magnetization: 4.00 μB per formula unit
# electronic total energy: -78.037 eV/f.u.
data_PuAlVO6
_chemical_formula_sum 'Pu2 Al2 V2 O12'
_cell_length_a 4.9682
_cell_length_b 4.9682
_cell_length_c 9.5497
_cell_angle_alpha 90.00
_cell_angle_beta 90.00
_cell_angle_gamma 120.00
_symmetry_space_group_name_H-M 'P -3 1 c'
_symmetry_Int_Tables_number 163
_symmetry_space_group_name_Hall '-P 3 2c'
loop_
_atom_site_label
_atom_site_type_symbol
_atom_site_fract_x
_atom_site_fract_y
_atom_site_fract_z
Pu1 Pu 0.0000 0.0000 0.0000
Al1 Al 0.3333 0.6667 0.2500
V1 V 0.3333 0.6667 0.7500
O1 O 0.9997 0.3583 0.6402